Record 1
VASP calculation (GGA-PBE) on crystalline CoNiSnOs2 at its relaxed geometry.

Values from the calculation:
Calculated density ... 9.67 Mg/m³

Cell: 4.848 4.848 4.506 Å, 90.00 90.00 90.00°
Fractional positions:
Co  0.000  0.000  0.000
Ni  0.500  0.500  0.000
Sn  0.500  0.500  0.500
Os  0.000  0.500  0.500
Os  0.500  0.000  0.500

=====

Record 2
VASP calculation (GGA-PBE) on crystalline TaCoNiOs at its relaxed geometry.

Values from the calculation:
Calculated density ... 15.19 Mg/m³

Cell: 3.750 3.773 3.776 Å, 90.00 90.00 90.00°
Fractional positions:
Ta  0.000  0.000  0.000
Co  0.500  0.500  0.000
Ni  0.000  0.500  0.500
Os  0.500  0.000  0.500

=====

Record 3
VASP calculation (GGA-PBE) on crystalline TlCoNi2Os at its relaxed geometry.

Values from the calculation:
Calculated density ... 11.16 Mg/m³

Cell: 4.234 4.234 4.741 Å, 90.00 90.00 90.00°
Fractional positions:
Tl  0.000  0.000  0.000
Co  0.000  0.000  0.500
Ni  0.000  0.500  0.500
Ni  0.500  0.000  0.500
Os  0.500  0.500  0.000

=====

Record 4
VASP calculation (GGA-PBE) on crystalline CoNiOsW at its relaxed geometry.

Values from the calculation:
Calculated density ... 15.40 Mg/m³

Cell: 5.964 5.964 5.964 Å, 90.00 90.00 90.00°
Fractional positions:
Co  0.000  0.000  0.000
Co  0.000  0.500  0.500
Co  0.500  0.000  0.500
Co  0.500  0.500  0.000
Ni  0.250  0.250  0.250
Ni  0.250  0.750  0.750
Ni  0.750  0.250  0.750
Ni  0.750  0.750  0.250
Os  0.000  0.000  0.500
Os  0.000  0.500  0.000
Os  0.500  0.000  0.000
Os  0.500  0.500  0.500
W  0.250  0.250  0.750
W  0.250  0.750  0.250
W  0.750  0.250  0.250
W  0.750  0.750  0.750

=====

Record 5
VASP calculation (GGA-PBE) on crystalline CoNi2P2 at its relaxed geometry.

Values from the calculation:
Calculated density ... 6.94 Mg/m³

Cell: 5.727 5.727 3.475 Å, 90.00 90.00 90.00°
Fractional positions:
Co  0.000  0.000  0.000
Co  0.500  0.500  0.000
Ni  0.160  0.340  0.500
Ni  0.340  0.840  0.500
Ni  0.660  0.160  0.500
Ni  0.840  0.660  0.500
P  0.142  0.642  0.000
P  0.358  0.142  0.000
P  0.642  0.858  0.000
P  0.858  0.358  0.000

=====

Record 6
VASP calculation (GGA-PBE) on crystalline CoNi3P at its relaxed geometry.

Values from the calculation:
Calculated density ... 5.81 Mg/m³

Cell: 4.236 4.236 4.236 Å, 90.00 90.00 90.00°
Fractional positions:
Co  0.000  0.000  0.000
Ni  0.000  0.000  0.500
Ni  0.000  0.500  0.000
Ni  0.500  0.000  0.000
P  0.500  0.500  0.500

=====

Record 7
VASP calculation (GGA-PBE) on crystalline CoNi2P at its relaxed geometry.

Values from the calculation:
Calculated density ... 7.86 Mg/m³

Cell: 3.386 2.664 9.712 Å, 90.00 90.00 90.00°
Fractional positions:
Co  0.000  0.000  0.000
Co  0.000  0.500  0.500
Ni  0.000  0.000  0.272
Ni  0.000  0.500  0.772
Ni  0.500  0.000  0.646
Ni  0.500  0.500  0.146
P  0.500  0.000  0.418
P  0.500  0.500  0.918

=====

Record 8
VASP calculation (GGA-PBE) on crystalline CoNiP6 at its relaxed geometry.

Values from the calculation:
Calculated density ... 4.29 Mg/m³

Cell: 6.719 6.719 7.774 Å, 125.06 125.06 70.63°
Fractional positions:
Co  0.000  0.500  0.000
Co  0.500  0.000  0.000
Ni  0.000  0.500  0.500
Ni  0.500  0.000  0.500
P  0.140  0.851  0.143
P  0.149  0.860  0.857
P  0.208  0.503  0.351
P  0.349  0.349  0.994
P  0.355  0.355  0.710
P  0.497  0.792  0.649
P  0.503  0.208  0.351
P  0.645  0.645  0.290
P  0.651  0.651  0.006
P  0.792  0.497  0.649
P  0.851  0.140  0.143
P  0.860  0.149  0.857

=====

Record 9
VASP calculation (GGA-PBE) on crystalline CoNi2P at its relaxed geometry.

Values from the calculation:
Calculated density ... 8.19 Mg/m³

Cell: 3.576 3.576 6.576 Å, 90.00 90.00 90.00°
Fractional positions:
Co  0.000  0.000  0.000
Co  0.500  0.500  0.500
Ni  0.000  0.000  0.500
Ni  0.000  0.500  0.750
Ni  0.500  0.000  0.250
Ni  0.500  0.500  0.000
P  0.000  0.500  0.250
P  0.500  0.000  0.750

=====

Record 10
VASP calculation (GGA-PBE) on crystalline CoNi2P at its relaxed geometry.

Values from the calculation:
Calculated density ... 7.82 Mg/m³

Cell: 2.641 3.446 4.836 Å, 90.00 90.00 90.00°
Fractional positions:
Co  0.000  0.000  0.000
Ni  0.500  0.500  0.251
Ni  0.500  0.500  0.749
P  0.000  0.000  0.500

=====

Record 11
VASP calculation (GGA-PBE) on crystalline CoNiP at its relaxed geometry.

Values from the calculation:
Calculated density ... 7.60 Mg/m³

Cell: 5.806 5.806 3.337 Å, 90.00 90.00 120.00°
Fractional positions:
Co  0.000  0.738  0.000
Co  0.262  0.262  0.000
Co  0.738  0.000  0.000
Ni  0.000  0.396  0.500
Ni  0.396  0.000  0.500
Ni  0.604  0.604  0.500
P  0.000  0.000  0.500
P  0.333  0.667  0.000
P  0.667  0.333  0.000

=====

Record 12
VASP calculation (GGA-PBE) on crystalline Co2Ni2P at its relaxed geometry.

Values from the calculation:
Calculated density ... 7.64 Mg/m³

Cell: 5.534 5.534 3.778 Å, 90.00 90.00 90.00°
Fractional positions:
Co  0.145  0.355  0.000
Co  0.355  0.855  0.000
Co  0.645  0.145  0.000
Co  0.855  0.645  0.000
Ni  0.158  0.658  0.500
Ni  0.342  0.158  0.500
Ni  0.658  0.842  0.500
Ni  0.842  0.342  0.500
P  0.000  0.000  0.000
P  0.500  0.500  0.000

=====

Values of ΔE_f, in order: 238.54; -20.81; 147.98; 14.79; -27.38; 106.61; -22.64; -37.23; -17.96; -7.28; -55.09; -2.17, all in kJ per mole of atoms.